Computed, not measured: an optimized crystal structure of PrTm3S4 at the PBE level of DFT.

## Properties
ρ	7.61	g/cm3
spin magnetization	0.0	Bohr magnetons per cell
uncorrected formation energy	-1.940	eV/atom

Unit cell a=3.8523 b=6.8121 c=6.8121 alpha=108.69 beta=90.00 gamma=90.00
Positions (direct):
Pr 0.5000 0.0000 0.0000
S 0.0000 0.2661 0.2661
S 0.5000 0.7422 0.2578
S 0.0000 0.7339 0.7339
S 0.5000 0.2578 0.7422
Tm 0.0000 0.0000 0.5000
Tm 0.5000 0.5000 0.5000
Tm 0.0000 0.5000 0.0000


Computed, not measured: an optimized crystal structure of Pr2TmS3 at the PBE level of DFT.

## Properties
ρ	6.15	g/cm3
spin magnetization	0.0	Bohr magnetons per cell
uncorrected formation energy	-1.725	eV/atom

Unit cell a=3.8241 b=4.9678 c=8.3797 alpha=107.24 beta=103.19 gamma=90.00
Positions (direct):
Pr 0.6465 0.6465 0.2930
Pr 0.3535 0.3535 0.7070
Tm 0.0000 0.0000 0.0000
S 0.0000 0.5000 0.0000
S 0.8295 0.8295 0.6590
S 0.1705 0.1705 0.3410


Computed, not measured: an optimized crystal structure of Pr3TmS at the PBE level of DFT.

## Properties
ρ	6.13	g/cm3
spin magnetization	0.0	Bohr magnetons per cell
uncorrected formation energy	-0.653	eV/atom

Unit cell a=5.5284 b=5.5284 c=5.5284 alpha=90.00 beta=90.00 gamma=90.00
Positions (direct):
Pr 0.0000 0.5000 0.0000
Pr 0.0000 0.0000 0.5000
Pr 0.5000 0.0000 0.0000
S 0.0000 0.0000 0.0000
Tm 0.5000 0.5000 0.5000


Computed, not measured: an optimized crystal structure of PrTmS3 at the PBE level of DFT.

## Properties
ρ	5.54	g/cm3
spin magnetization	0.0	Bohr magnetons per cell
uncorrected formation energy	-2.058	eV/atom

Unit cell a=3.9583 b=7.8278 c=7.8889 alpha=95.04 beta=90.00 gamma=90.00
Positions (direct):
Pr 0.2500 0.3747 0.2277
Pr 0.7500 0.6253 0.7723
Tm 0.2500 0.8514 0.3278
Tm 0.7500 0.1486 0.6722
S 0.7500 0.6279 0.3879
S 0.2500 0.3721 0.6121
S 0.7500 0.3137 0.9724
S 0.2500 0.9073 0.6782
S 0.2500 0.6863 0.0276
S 0.7500 0.0927 0.3218


Question: Number 1 is which compound?
Answer: PrTm3S4


Repeat the third record exactly.
Computed, not measured: an optimized crystal structure of Pr3TmS at the PBE level of DFT.

## Properties
ρ	6.13	g/cm3
spin magnetization	0.0	Bohr magnetons per cell
uncorrected formation energy	-0.653	eV/atom

Unit cell a=5.5284 b=5.5284 c=5.5284 alpha=90.00 beta=90.00 gamma=90.00
Positions (direct):
Pr 0.0000 0.5000 0.0000
Pr 0.0000 0.0000 0.5000
Pr 0.5000 0.0000 0.0000
S 0.0000 0.0000 0.0000
Tm 0.5000 0.5000 0.5000